No. 1
Here is an optimized crystal structure of SiPOsRuC from Alexandria via LeMat-Bulk. Energies are from PBE-GGA.

```
data_SiPOsRuC
_cell_length_a 2.8792
_cell_length_b 4.5061
_cell_length_c 6.3041
_cell_angle_alpha 110.39
_cell_angle_beta 90.34
_cell_angle_gamma 108.62
_symmetry_space_group_name_H-M 'P 1'
_symmetry_Int_Tables_number 1
_symmetry_space_group_name_Hall 'P 1'
loop_
_atom_site_label
_atom_site_type_symbol
_atom_site_fract_x
_atom_site_fract_y
_atom_site_fract_z
_atom_site_occupancy
Si1 Si 0.0000 0.0000 0.0000 1
P1 P 0.7906 0.5827 0.2894 1
Os1 Os 0.5391 0.0845 0.3984 1
Ru1 Ru 0.2681 0.5377 0.9631 1
C1 C 0.1435 0.2808 0.6398 1
```



No. 2
Here is an optimized crystal structure of SiPOsRuC from Alexandria via LeMat-Bulk. Energies are from PBE-GGA.

```
data_SiPOsRuC
_cell_length_a 3.0161
_cell_length_b 3.0161
_cell_length_c 25.0079
_cell_angle_alpha 90.00
_cell_angle_beta 90.00
_cell_angle_gamma 120.00
_symmetry_space_group_name_H-M 'R 3 m'
_symmetry_Int_Tables_number 160
_symmetry_space_group_name_Hall 'R 3 -2"'
loop_
_atom_site_label
_atom_site_type_symbol
_atom_site_fract_x
_atom_site_fract_y
_atom_site_fract_z
_atom_site_occupancy
Si1 Si 0.0000 0.0000 0.0000 1
P1 P 0.0000 0.0000 0.8255 1
Os1 Os 0.0000 0.0000 0.2225 1
Ru1 Ru 0.0000 0.0000 0.0977 1
C1 C 0.0000 0.0000 0.3057 1
```



No. 3
Here is an optimized crystal structure of SiPOsRuC from Alexandria via LeMat-Bulk. Energies are from PBE-GGA.

```
data_SiPOsRuC
_cell_length_a 5.5136
_cell_length_b 3.1613
_cell_length_c 7.3406
_cell_angle_alpha 90.00
_cell_angle_beta 91.12
_cell_angle_gamma 90.00
_symmetry_space_group_name_H-M 'C 1 m 1'
_symmetry_Int_Tables_number 8
_symmetry_space_group_name_Hall 'C -2y'
loop_
_atom_site_label
_atom_site_type_symbol
_atom_site_fract_x
_atom_site_fract_y
_atom_site_fract_z
_atom_site_occupancy
Si1 Si 0.0000 0.0000 0.0000 1
P1 P 0.4206 0.5000 0.4707 1
Os1 Os 0.0938 0.5000 0.6642 1
Ru1 Ru 0.0847 0.5000 0.2720 1
C1 C 0.1691 0.5000 0.9616 1
```



Looking at polymorph energy (0 for the lowest one) for the records above, in order, we have 169 0 12 meV/atom.
Looking at energy relative to the elements, uncorrected for the records above, in order, we have 0.2229 0.0537 0.0653 eV/atom.